# CrSb2O6, optimized geometry, DFT PBEsol
data_CrSb2O6
_chemical_formula_sum 'Cr2 Sb4 O12'
_symmetry_space_group_name_H-M 'P 42/m n m'
_symmetry_Int_Tables_number 136
_symmetry_space_group_name_Hall '-P 4n 2n'
_cell_length_a 4.686
_cell_length_b 4.686
_cell_length_c 9.488
_cell_angle_alpha 90.00
_cell_angle_beta 90.00
_cell_angle_gamma 90.00
loop_
_atom_site_label
_atom_site_type_symbol
_atom_site_fract_x
_atom_site_fract_y
_atom_site_fract_z
Cr1 Cr 0.000 0.000 0.000
Sb1 Sb 0.000 0.000 0.334
O1 O 0.189 0.189 0.161
O2 O 0.199 0.199 0.500
# Magnetic moment in μB per formula unit: 2.77
# Formation energy (no corrections) in eV per atom: -1.514

---

# CrSbO2, optimized geometry, DFT PBEsol
data_CrSbO2
_chemical_formula_sum 'Cr3 Sb3 O6'
_symmetry_space_group_name_H-M 'R -3 m'
_symmetry_Int_Tables_number 166
_symmetry_space_group_name_Hall '-R 3 2"'
_cell_length_a 3.0931
_cell_length_b 3.0931
_cell_length_c 19.3330
_cell_angle_alpha 90.00
_cell_angle_beta 90.00
_cell_angle_gamma 120.00
loop_
_atom_site_label
_atom_site_type_symbol
_atom_site_fract_x
_atom_site_fract_y
_atom_site_fract_z
Cr1 Cr 0.0000 0.0000 0.0000
Sb1 Sb 0.0000 0.0000 0.5000
O1 O 0.0000 0.0000 0.3821
# Magnetic moment in μB per formula unit: 3.01
# Formation energy (no corrections) in eV per atom: -1.342

---

# CrSnSbO6, optimized geometry, DFT PBEsol
data_CrSnSbO6
_chemical_formula_sum 'Cr2 Sn2 Sb2 O12'
_symmetry_space_group_name_H-M 'P 42 n m'
_symmetry_Int_Tables_number 102
_symmetry_space_group_name_Hall 'P 4n -2n'
_cell_length_a 4.651
_cell_length_b 4.651
_cell_length_c 9.357
_cell_angle_alpha 90.00
_cell_angle_beta 90.00
_cell_angle_gamma 90.00
loop_
_atom_site_label
_atom_site_type_symbol
_atom_site_fract_x
_atom_site_fract_y
_atom_site_fract_z
Cr1 Cr 0.000 0.000 0.000
Sn1 Sn 0.000 0.000 0.667
Sb1 Sb 0.000 0.000 0.334
O1 O 0.187 0.187 0.165
O2 O 0.195 0.195 0.839
O3 O 0.199 0.199 0.496
# Magnetic moment in μB per formula unit: 3.00
# Formation energy (no corrections) in eV per atom: -1.672

---

# Tb2CrSbO7, optimized geometry, DFT PBEsol
data_Tb2CrSbO7
_chemical_formula_sum 'Tb8 Cr4 Sb4 O28'
_symmetry_space_group_name_H-M 'I m m a'
_symmetry_Int_Tables_number 74
_symmetry_space_group_name_Hall '-I 2b 2'
_cell_length_a 7.175
_cell_length_b 7.246
_cell_length_c 10.137
_cell_angle_alpha 90.00
_cell_angle_beta 90.00
_cell_angle_gamma 90.00
loop_
_atom_site_label
_atom_site_type_symbol
_atom_site_fract_x
_atom_site_fract_y
_atom_site_fract_z
Tb1 Tb 0.000 0.000 0.000
Tb2 Tb 0.250 0.250 0.250
Cr1 Cr 0.250 0.250 0.750
Sb1 Sb 0.000 0.000 0.500
O1 O 0.000 0.250 0.127
O2 O 0.000 0.250 0.416
O3 O 0.000 0.250 0.837
O4 O 0.207 0.040 0.627
# Magnetic moment in μB per formula unit: 3.00
# Formation energy (no corrections) in eV per atom: -2.625

---

# TiCrSbO6, optimized geometry, DFT PBEsol
data_TiCrSbO6
_chemical_formula_sum 'Ti2 Cr2 Sb2 O12'
_symmetry_space_group_name_H-M 'P 42 n m'
_symmetry_Int_Tables_number 102
_symmetry_space_group_name_Hall 'P 4n -2n'
_cell_length_a 4.604
_cell_length_b 4.604
_cell_length_c 9.048
_cell_angle_alpha 90.00
_cell_angle_beta 90.00
_cell_angle_gamma 90.00
loop_
_atom_site_label
_atom_site_type_symbol
_atom_site_fract_x
_atom_site_fract_y
_atom_site_fract_z
Ti1 Ti 0.000 0.000 0.000
Cr1 Cr 0.000 0.000 0.671
Sb1 Sb 0.000 0.000 0.337
O1 O 0.193 0.193 0.839
O2 O 0.195 0.195 0.506
O3 O 0.197 0.197 0.168
# Magnetic moment in μB per formula unit: 3.00
# Formation energy (no corrections) in eV per atom: -2.123

---

# ScCrO4, optimized geometry, DFT PBEsol
data_ScCrO4
_chemical_formula_sum 'Sc4 Cr4 O16'
_symmetry_space_group_name_H-M 'C m c m'
_symmetry_Int_Tables_number 63
_symmetry_space_group_name_Hall '-C 2c 2'
_cell_length_a 5.616
_cell_length_b 8.359
_cell_length_c 6.545
_cell_angle_alpha 90.00
_cell_angle_beta 90.00
_cell_angle_gamma 90.00
loop_
_atom_site_label
_atom_site_type_symbol
_atom_site_fract_x
_atom_site_fract_y
_atom_site_fract_z
Sc1 Sc 0.000 0.000 0.000
Cr1 Cr 0.000 0.361 0.250
O1 O 0.000 0.245 0.045
O2 O 0.241 0.025 0.750
# Magnetic moment in μB per formula unit: 1.00
# Formation energy (no corrections) in eV per atom: -2.468

---

# ScCrO2, optimized geometry, DFT PBEsol
data_ScCrO2
_chemical_formula_sum 'Sc3 Cr3 O6'
_symmetry_space_group_name_H-M 'R -3 m'
_symmetry_Int_Tables_number 166
_symmetry_space_group_name_Hall '-R 3 2"'
_cell_length_a 3.1763
_cell_length_b 3.1763
_cell_length_c 17.6819
_cell_angle_alpha 90.00
_cell_angle_beta 90.00
_cell_angle_gamma 120.00
loop_
_atom_site_label
_atom_site_type_symbol
_atom_site_fract_x
_atom_site_fract_y
_atom_site_fract_z
Sc1 Sc 0.0000 0.0000 0.0000
Cr1 Cr 0.0000 0.0000 0.5000
O1 O 0.0000 0.0000 0.3917
# Magnetic moment in μB per formula unit: 3.81
# Formation energy (no corrections) in eV per atom: -2.279

---

# TiCr2SeO, optimized geometry, DFT PBEsol
data_TiCr2SeO
_chemical_formula_sum 'Ti1 Cr2 Se1 O1'
_symmetry_space_group_name_H-M 'P 4/m m m'
_symmetry_Int_Tables_number 123
_symmetry_space_group_name_Hall '-P 4 2'
_cell_length_a 3.840
_cell_length_b 3.840
_cell_length_c 4.064
_cell_angle_alpha 90.00
_cell_angle_beta 90.00
_cell_angle_gamma 90.00
loop_
_atom_site_label
_atom_site_type_symbol
_atom_site_fract_x
_atom_site_fract_y
_atom_site_fract_z
Ti1 Ti 0.000 0.000 0.000
Cr1 Cr 0.000 0.500 0.500
Se1 Se 0.500 0.500 0.000
O1 O 0.000 0.000 0.500
# Magnetic moment in μB per formula unit: 2.29
# Formation energy (no corrections) in eV per atom: -0.612

---

# CrSi4O10, optimized geometry, DFT PBEsol
data_CrSi4O10
_chemical_formula_sum 'Cr4 Si16 O40'
_symmetry_space_group_name_H-M 'P 4/n c c'
_symmetry_Int_Tables_number 130
_cell_length_a 7.527
_cell_length_b 7.527
_cell_length_c 14.633
_cell_angle_alpha 90.00
_cell_angle_beta 90.00
_cell_angle_gamma 90.00
loop_
_symmetry_equiv_pos_as_xyz
'x,y,z'
'-x,-y,-z'
'-y+1/2,x,z'
'y+1/2,-x,-z'
'-x+1/2,-y+1/2,z'
'x+1/2,y+1/2,-z'
'y,-x+1/2,z'
'-y,x+1/2,-z'
'x+1/2,-y,-z+1/2'
'-x+1/2,y,z+1/2'
'-y,-x,-z+1/2'
'y,x,z+1/2'
'-x,y+1/2,-z+1/2'
'x,-y+1/2,z+1/2'
'y+1/2,x+1/2,-z+1/2'
'-y+1/2,-x+1/2,z+1/2'
loop_
_atom_site_label
_atom_site_type_symbol
_atom_site_fract_x
_atom_site_fract_y
_atom_site_fract_z
Cr1 Cr 0.250 0.250 0.072
Si1 Si 0.038 0.046 0.356
O1 O 0.002 0.245 0.878
O2 O 0.005 0.505 0.250
O3 O 0.076 0.089 0.081
# Magnetic moment in μB per formula unit: 2.00
# Formation energy (no corrections) in eV per atom: -2.418

---

# CrSi4O10, optimized geometry, DFT PBEsol
data_CrSi4O10
_chemical_formula_sum 'Cr2 Si8 O20'
_symmetry_space_group_name_H-M 'P -1'
_symmetry_Int_Tables_number 2
_symmetry_space_group_name_Hall '-P 1'
_cell_length_a 7.144
_cell_length_b 8.094
_cell_length_c 9.510
_cell_angle_alpha 108.71
_cell_angle_beta 102.61
_cell_angle_gamma 108.52
loop_
_atom_site_label
_atom_site_type_symbol
_atom_site_fract_x
_atom_site_fract_y
_atom_site_fract_z
Cr1 Cr 0.216 0.177 0.086
Si1 Si 0.097 0.899 0.263
Si2 Si 0.267 0.600 0.252
Si3 Si 0.333 0.118 0.773
Si4 Si 0.474 0.798 0.612
O1 O 0.066 0.966 0.114
O2 O 0.099 0.689 0.205
O3 O 0.105 0.108 0.684
O4 O 0.147 0.372 0.130
O5 O 0.320 0.054 0.404
O6 O 0.320 0.633 0.436
O7 O 0.345 0.917 0.684
O8 O 0.360 0.155 0.958
O9 O 0.440 0.289 0.271
O10 O 0.481 0.701 0.222
# Magnetic moment in μB per formula unit: 2.00
# Formation energy (no corrections) in eV per atom: -2.535

---

# ZnCrSi2O6, optimized geometry, DFT PBEsol
data_ZnCrSi2O6
_chemical_formula_sum 'Zn4 Cr4 Si8 O24'
_symmetry_space_group_name_H-M 'C 1 2/c 1'
_symmetry_Int_Tables_number 15
_symmetry_space_group_name_Hall '-C 2yc'
_cell_length_a 9.821
_cell_length_b 9.443
_cell_length_c 5.299
_cell_angle_alpha 90.00
_cell_angle_beta 111.61
_cell_angle_gamma 90.00
loop_
_atom_site_label
_atom_site_type_symbol
_atom_site_fract_x
_atom_site_fract_y
_atom_site_fract_z
Zn1 Zn 0.000 0.238 0.250
Cr1 Cr 0.000 0.101 0.750
Si1 Si 0.197 0.415 0.731
O1 O 0.119 0.264 0.623
O2 O 0.122 0.089 0.146
O3 O 0.146 0.473 0.974
# Magnetic moment in μB per formula unit: 4.00
# Formation energy (no corrections) in eV per atom: -2.162

---

# Zn3Cr2Si4O14, optimized geometry, DFT PBEsol
data_Zn3Cr2Si4O14
_chemical_formula_sum 'Zn12 Cr8 Si16 O56'
_symmetry_space_group_name_H-M 'C 1 2/c 1'
_symmetry_Int_Tables_number 15
_symmetry_space_group_name_Hall '-C 2yc'
_cell_length_a 16.064
_cell_length_b 7.583
_cell_length_c 9.768
_cell_angle_alpha 90.00
_cell_angle_beta 121.42
_cell_angle_gamma 90.00
loop_
_atom_site_label
_atom_site_type_symbol
_atom_site_fract_x
_atom_site_fract_y
_atom_site_fract_z
Zn1 Zn 0.000 0.106 0.250
Zn2 Zn 0.168 0.387 0.400
Cr1 Cr 0.000 0.296 0.750
Cr2 Cr 0.000 0.500 0.000
Si1 Si 0.121 0.155 0.094
Si2 Si 0.179 0.205 0.705
O1 O 0.057 0.093 0.908
O2 O 0.064 0.286 0.157
O3 O 0.081 0.459 0.915
O4 O 0.090 0.337 0.668
O5 O 0.149 0.005 0.725
O6 O 0.205 0.195 0.565
O7 O 0.225 0.233 0.128
# Magnetic moment in μB per formula unit: 6.00
# Formation energy (no corrections) in eV per atom: -2.165